1.
VASP calculation (PBE) on a relaxed YEr2Mg crystal.

```
data_YEr2Mg
_chemical_formula_sum 'Y1 Er2 Mg1'
_cell_length_a 4.875
_cell_length_b 4.875
_cell_length_c 4.918
_cell_angle_alpha 90.00
_cell_angle_beta 90.00
_cell_angle_gamma 90.00
_symmetry_space_group_name_H-M 'P 4/m m m'
_symmetry_Int_Tables_number 123
_symmetry_space_group_name_Hall '-P 4 2'
loop_
_atom_site_label
_atom_site_type_symbol
_atom_site_fract_x
_atom_site_fract_y
_atom_site_fract_z
Y1 Y 0.000 0.000 0.000
Er1 Er 0.000 0.500 0.500
Mg1 Mg 0.500 0.500 0.000
```

The total magnetization is 0.00 μB/atom. As for the energy above the most stable polymorph in this dataset: 0.061 eV per atom.

***

2.
VASP calculation (PBE) on a relaxed Y2Er3Mg2 crystal.

```
data_Y2Er3Mg2
_chemical_formula_sum 'Y4 Er6 Mg4'
_cell_length_a 3.660
_cell_length_b 31.621
_cell_length_c 3.570
_cell_angle_alpha 90.00
_cell_angle_beta 90.00
_cell_angle_gamma 90.00
_symmetry_space_group_name_H-M 'C m m m'
_symmetry_Int_Tables_number 65
_symmetry_space_group_name_Hall '-C 2 2'
loop_
_atom_site_label
_atom_site_type_symbol
_atom_site_fract_x
_atom_site_fract_y
_atom_site_fract_z
Y1 Y 0.000 0.203 0.000
Er1 Er 0.000 0.075 0.000
Er2 Er 0.000 0.500 0.500
Mg1 Mg 0.000 0.361 0.500
```

The total magnetization is 0.12 μB/atom.

***

3.
VASP calculation (PBE) on a relaxed YEr2Mg8 crystal.

```
data_YEr2Mg8
_chemical_formula_sum 'Y2 Er4 Mg16'
_cell_length_a 5.280
_cell_length_b 7.794
_cell_length_c 13.988
_cell_angle_alpha 90.00
_cell_angle_beta 90.00
_cell_angle_gamma 90.00
_symmetry_space_group_name_H-M 'I m m m'
_symmetry_Int_Tables_number 71
_symmetry_space_group_name_Hall '-I 2 2'
loop_
_atom_site_label
_atom_site_type_symbol
_atom_site_fract_x
_atom_site_fract_y
_atom_site_fract_z
Y1 Y 0.000 0.000 0.000
Er1 Er 0.000 0.000 0.287
Mg1 Mg 0.000 0.205 0.500
Mg2 Mg 0.000 0.309 0.135
Mg3 Mg 0.000 0.500 0.347
```

The total magnetization is 0.00 μB/atom.

***

4.
VASP calculation (PBE) on a relaxed Y2Er6Mg crystal.

```
data_Y2Er6Mg
_chemical_formula_sum 'Y2 Er6 Mg1'
_cell_length_a 3.5350
_cell_length_b 3.5350
_cell_length_c 25.7038
_cell_angle_alpha 90.00
_cell_angle_beta 90.00
_cell_angle_gamma 120.00
_symmetry_space_group_name_H-M 'P -6 m 2'
_symmetry_Int_Tables_number 187
_symmetry_space_group_name_Hall 'P -6 2'
loop_
_atom_site_label
_atom_site_type_symbol
_atom_site_fract_x
_atom_site_fract_y
_atom_site_fract_z
Y1 Y 0.0000 0.0000 0.1743
Er1 Er 0.0000 0.0000 0.3946
Er2 Er 0.6667 0.3333 0.0651
Er3 Er 0.6667 0.3333 0.2861
Mg1 Mg 0.6667 0.3333 0.5000
```

The total magnetization is 0.19 μB/atom. As for the energy above the most stable polymorph in this dataset: 0.038 eV per atom.

***

Uncorrected energy? In order: -4.27; -4.21; -2.52; -4.59 eV per atom.
Energy of formation from the pure elements? In order: 0.03; 0.05; 0.06; 0.07 eV per atom.